Model A:
Below is crystalline YOsPt2 at its relaxed geometry, with properties calculated at the PBE level.

Unit cell a=9.546 b=2.967 c=5.095 alpha=90.00 beta=100.86 gamma=90.00
Space group Cm (No. 8)
Asymmetric unit:
1 Y 0.000 0.000 0.000
2 Os 0.254 0.500 0.316
3 Pt 0.245 0.000 0.750
4 Pt 0.491 0.000 0.481

Model B:
Below is crystalline YOsPt2 at its relaxed geometry, with properties calculated at the PBE level.

Unit cell a=2.904 b=2.904 c=8.213 alpha=90.00 beta=90.00 gamma=90.00
Space group P4/mmm (No. 123)
Asymmetric unit:
1 Y 0.000 0.000 0.000
2 Os 0.000 0.000 0.500
3 Pt 0.500 0.500 0.274

Verdict on stability: model B comes out at the bottom.

Model A:
Below is crystalline YOsPt2 at its relaxed geometry, with properties calculated at the PBE level.

Unit cell a=2.8894 b=2.8894 c=28.5991 alpha=90.00 beta=90.00 gamma=120.00
Space group R-3m (No. 166, hexagonal axes)
Asymmetric unit:
1 Y 0.0000 0.0000 0.0000
2 Os 0.0000 0.0000 0.5000
3 Pt 0.0000 0.0000 0.2437

Model B:
Below is crystalline YOsPt2 at its relaxed geometry, with properties calculated at the PBE level.

Unit cell a=9.591 b=3.058 c=4.930 alpha=90.00 beta=102.22 gamma=90.00
Space group C2/m (No. 12)
Asymmetric unit:
1 Y 0.000 0.000 0.000
2 Os 0.000 0.500 0.500
3 Pt 0.238 0.000 0.724

Verdict on stability: model A comes out at the bottom.

Model A:
Below is crystalline YOsPt2 at its relaxed geometry, with properties calculated at the PBE level.

Unit cell a=4.099 b=4.099 c=4.106 alpha=90.00 beta=90.00 gamma=90.00
Space group P4/mmm (No. 123)
Asymmetric unit:
1 Y 0.000 0.000 0.000
2 Os 0.500 0.500 0.000
3 Pt 0.000 0.500 0.500

Model B:
Below is crystalline YOsPt2 at its relaxed geometry, with properties calculated at the PBE level.

Unit cell a=2.898 b=4.087 c=5.878 alpha=90.00 beta=90.00 gamma=90.00
Space group Pmmm (No. 47)
Asymmetric unit:
1 Y 0.000 0.000 0.000
2 Os 0.000 0.000 0.500
3 Pt 0.500 0.500 0.275

Model C:
Below is crystalline YOsPt2 at its relaxed geometry, with properties calculated at the PBE level.

Unit cell a=4.089 b=4.089 c=8.440 alpha=90.00 beta=90.00 gamma=90.00
Space group I-4m2 (No. 119)
Asymmetric unit:
1 Y 0.000 0.000 0.000
2 Os 0.000 0.500 0.750
3 Pt 0.000 0.000 0.500
4 Pt 0.000 0.500 0.250

Model D:
Below is crystalline YOsPt2 at its relaxed geometry, with properties calculated at the PBE level.

Unit cell a=4.094 b=4.094 c=18.558 alpha=90.00 beta=90.00 gamma=90.00
Space group I-42d (No. 122)
Asymmetric unit:
1 Y 0.000 0.000 0.000
2 Os 0.000 0.000 0.500
3 Pt 0.218 0.250 0.625

Verdict on stability: model D comes out at the bottom.

Model A:
Below is crystalline YOsPt2 at its relaxed geometry, with properties calculated at the PBE level.

Unit cell a=5.780 b=8.092 c=2.933 alpha=90.00 beta=90.00 gamma=90.00
Space group Cmmm (No. 65)
Asymmetric unit:
1 Y 0.000 0.000 0.000
2 Os 0.000 0.500 0.000
3 Pt 0.250 0.250 0.500

Model B:
Below is crystalline YOsPt2 at its relaxed geometry, with properties calculated at the PBE level.

Unit cell a=4.102 b=4.112 c=8.254 alpha=90.00 beta=90.00 gamma=90.00
Space group Immm (No. 71)
Asymmetric unit:
1 Y 0.000 0.000 0.000
2 Os 0.000 0.000 0.500
3 Pt 0.000 0.500 0.250

Verdict on stability: model B comes out at the bottom.

Model A:
Below is crystalline YOsPt2 at its relaxed geometry, with properties calculated at the PBE level.

Unit cell a=2.9023 b=2.9023 c=28.5798 alpha=90.00 beta=90.00 gamma=120.00
Space group R3m (No. 160, hexagonal axes)
Asymmetric unit:
1 Y 0.0000 0.0000 0.0000
2 Os 0.0000 0.0000 0.2427
3 Pt 0.0000 0.0000 0.5012
4 Pt 0.0000 0.0000 0.7526

Model B:
Below is crystalline YOsPt2 at its relaxed geometry, with properties calculated at the PBE level.

Unit cell a=6.592 b=6.592 c=6.592 alpha=90.00 beta=90.00 gamma=90.00
Space group F-43m (No. 216)
Asymmetric unit:
1 Y 0.000 0.000 0.000
2 Os 0.250 0.250 0.250
3 Pt 0.000 0.000 0.500
4 Pt 0.250 0.250 0.750

Model C:
Below is crystalline YOsPt2 at its relaxed geometry, with properties calculated at the PBE level.

Unit cell a=2.927 b=2.927 c=8.191 alpha=90.00 beta=90.00 gamma=90.00
Space group P4mm (No. 99)
Asymmetric unit:
1 Y 0.000 0.000 0.000
2 Os 0.500 0.500 0.278
3 Pt 0.000 0.000 0.490
4 Pt 0.500 0.500 0.738

Model D:
Below is crystalline YOsPt2 at its relaxed geometry, with properties calculated at the PBE level.

Unit cell a=2.930 b=4.692 c=5.073 alpha=90.00 beta=90.00 gamma=90.00
Space group Pmm2 (No. 25)
Asymmetric unit:
1 Y 0.000 0.000 0.000
2 Os 0.000 0.500 0.615
3 Pt 0.500 0.000 0.515
4 Pt 0.500 0.500 0.168

Verdict on stability: model A comes out at the bottom.

Model A:
Below is crystalline YOs2Pt at its relaxed geometry, with properties calculated at the PBE level.

Unit cell a=3.906 b=4.341 c=8.148 alpha=90.00 beta=90.00 gamma=90.00
Space group Imm2 (No. 44)
Asymmetric unit:
1 Y 0.000 0.000 0.000
2 Os 0.000 0.000 0.475
3 Os 0.000 0.500 0.761
4 Pt 0.000 0.500 0.234

Model B:
Below is crystalline YOs2Pt at its relaxed geometry, with properties calculated at the PBE level.

Unit cell a=6.513 b=6.513 c=6.513 alpha=90.00 beta=90.00 gamma=90.00
Space group Fm-3m (No. 225)
Asymmetric unit:
1 Y 0.000 0.000 0.000
2 Os 0.250 0.250 0.250
3 Pt 0.000 0.000 0.500

Verdict on stability: model B comes out at the bottom.

Model A:
Below is crystalline YOs2Pt at its relaxed geometry, with properties calculated at the PBE level.

Unit cell a=2.8294 b=2.8294 c=29.1827 alpha=90.00 beta=90.00 gamma=120.00
Space group R-3m (No. 166, hexagonal axes)
Asymmetric unit:
1 Y 0.0000 0.0000 0.0000
2 Os 0.0000 0.0000 0.2432
3 Pt 0.0000 0.0000 0.5000

Model B:
Below is crystalline YOs2Pt at its relaxed geometry, with properties calculated at the PBE level.

Unit cell a=3.995 b=3.995 c=4.253 alpha=90.00 beta=90.00 gamma=90.00
Space group P4/mmm (No. 123)
Asymmetric unit:
1 Y 0.000 0.000 0.000
2 Os 0.000 0.500 0.500
3 Pt 0.500 0.500 0.000

Model C:
Below is crystalline YOs2Pt at its relaxed geometry, with properties calculated at the PBE level.

Unit cell a=4.021 b=4.021 c=8.485 alpha=90.00 beta=90.00 gamma=90.00
Space group I4/mmm (No. 139)
Asymmetric unit:
1 Y 0.000 0.000 0.000
2 Os 0.000 0.500 0.250
3 Pt 0.000 0.000 0.500

Model D:
Below is crystalline YOs2Pt at its relaxed geometry, with properties calculated at the PBE level.

Unit cell a=3.162 b=4.881 c=4.720 alpha=90.00 beta=94.00 gamma=90.00
Space group P2/m (No. 10)
Asymmetric unit:
1 Y 0.000 0.000 0.000
2 Os 0.364 0.500 0.750
3 Pt 0.500 0.000 0.500

Verdict on stability: model A comes out at the bottom.

Model A:
Below is crystalline YOs2Pt at its relaxed geometry, with properties calculated at the PBE level.

Unit cell a=6.525 b=6.525 c=6.525 alpha=90.00 beta=90.00 gamma=90.00
Space group F-43m (No. 216)
Asymmetric unit:
1 Y 0.000 0.000 0.000
2 Os 0.000 0.000 0.500
3 Os 0.250 0.250 0.250
4 Pt 0.250 0.250 0.750

Model B:
Below is crystalline YOs2Pt at its relaxed geometry, with properties calculated at the PBE level.

Unit cell a=3.099 b=4.623 c=4.802 alpha=90.00 beta=90.00 gamma=90.00
Space group Pmmm (No. 47)
Asymmetric unit:
1 Y 0.000 0.000 0.000
2 Os 0.000 0.500 0.500
3 Os 0.500 0.000 0.500
4 Pt 0.500 0.500 0.000

Model C:
Below is crystalline YOs2Pt at its relaxed geometry, with properties calculated at the PBE level.

Unit cell a=9.481 b=2.936 c=5.098 alpha=90.00 beta=100.59 gamma=90.00
Space group C2/m (No. 12)
Asymmetric unit:
1 Y 0.000 0.000 0.000
2 Os 0.240 0.000 0.705
3 Pt 0.000 0.500 0.500

Model D:
Below is crystalline YOs2Pt at its relaxed geometry, with properties calculated at the PBE level.

Unit cell a=9.407 b=2.942 c=5.132 alpha=90.00 beta=100.39 gamma=90.00
Space group Cm (No. 8)
Asymmetric unit:
1 Y 0.000 0.000 0.000
2 Os 0.260 0.500 0.332
3 Os 0.495 0.000 0.474
4 Pt 0.242 0.000 0.757

Verdict on stability: model A comes out at the bottom.

Model A:
Below is crystalline YOs2Pt at its relaxed geometry, with properties calculated at the PBE level.

Unit cell a=2.806 b=4.122 c=6.107 alpha=90.00 beta=90.00 gamma=90.00
Space group Pmmm (No. 47)
Asymmetric unit:
1 Y 0.000 0.000 0.000
2 Os 0.500 0.500 0.297
3 Pt 0.000 0.000 0.500

Model B:
Below is crystalline YOs2Pt at its relaxed geometry, with properties calculated at the PBE level.

Unit cell a=2.903 b=2.903 c=8.171 alpha=90.00 beta=90.00 gamma=90.00
Space group P4/mmm (No. 123)
Asymmetric unit:
1 Y 0.000 0.000 0.000
2 Os 0.500 0.500 0.279
3 Pt 0.000 0.000 0.500

Model C:
Below is crystalline YOs2Pt at its relaxed geometry, with properties calculated at the PBE level.

Unit cell a=2.915 b=2.915 c=8.095 alpha=90.00 beta=90.00 gamma=90.00
Space group P4mm (No. 99)
Asymmetric unit:
1 Y 0.000 0.000 0.000
2 Os 0.000 0.000 0.483
3 Os 0.500 0.500 0.283
4 Pt 0.500 0.500 0.726

Model D:
Below is crystalline YOs2Pt at its relaxed geometry, with properties calculated at the PBE level.

Unit cell a=2.8636 b=2.8636 c=28.8106 alpha=90.00 beta=90.00 gamma=120.00
Space group R3m (No. 160, hexagonal axes)
Asymmetric unit:
1 Y 0.0000 0.0000 0.0000
2 Os 0.0000 0.0000 0.4967
3 Os 0.0000 0.0000 0.7592
4 Pt 0.0000 0.0000 0.2445

Verdict on stability: model B comes out at the bottom.

Model A:
Below is crystalline YOs2Pt at its relaxed geometry, with properties calculated at the PBE level.

Unit cell a=2.888 b=4.690 c=10.262 alpha=90.00 beta=90.00 gamma=90.00
Space group Immm (No. 71)
Asymmetric unit:
1 Y 0.000 0.000 0.000
2 Os 0.000 0.500 0.225
3 Pt 0.000 0.000 0.500

Model B:
Below is crystalline YOs2Pt at its relaxed geometry, with properties calculated at the PBE level.

Unit cell a=5.699 b=8.156 c=2.903 alpha=90.00 beta=90.00 gamma=90.00
Space group Cmmm (No. 65)
Asymmetric unit:
1 Y 0.000 0.000 0.000
2 Os 0.250 0.250 0.500
3 Pt 0.000 0.500 0.000

Verdict on stability: model B comes out at the bottom.